! Sr2GaCoN PBE-GGA optimized geometry; values from VASP
&SYSTEM
  ibrav = 0, nat = 5, ntyp = 4
/
ATOMIC_SPECIES
Sr 87.62 Sr.upf
Ga 69.72 Ga.upf
Co 58.93 Co.upf
N 14.01 N.upf
CELL_PARAMETERS angstrom
5.5073 0.0000 0.0000
0.0000 5.5073 0.0000
0.0000 0.0000 3.5462
ATOMIC_POSITIONS angstrom
Sr 0.0000 2.7537 0.0000
Sr 2.7537 0.0000 0.0000
Ga 0.0000 0.0000 1.7731
Co 2.7537 2.7537 1.7731
N 2.7537 2.7537 0.0000
! - formation energy (no corrections) (meV per atom) = -382
! - calculated volume (Å³/cell) = 107.6
! - symmetry = No. 123

! GaCoTc2N PBE-GGA optimized geometry; values from VASP
&SYSTEM
  ibrav = 0, nat = 5, ntyp = 4
/
ATOMIC_SPECIES
Ga 69.72 Ga.upf
Co 58.93 Co.upf
Tc 98.00 Tc.upf
N 14.01 N.upf
CELL_PARAMETERS angstrom
4.0662 0.0000 0.0000
0.0000 4.0662 0.0000
0.0000 0.0000 3.7175
ATOMIC_POSITIONS angstrom
Ga 0.0000 0.0000 0.0000
Co 2.0331 2.0331 0.0000
Tc 0.0000 2.0331 1.8587
Tc 2.0331 0.0000 1.8587
N 2.0331 2.0331 1.8587
! - formation energy (no corrections) (meV per atom) = -82
! - calculated volume (Å³/cell) = 61.5
! - symmetry = No. 123

! GaCoTe2N PBE-GGA optimized geometry; values from VASP
&SYSTEM
  ibrav = 0, nat = 5, ntyp = 4
/
ATOMIC_SPECIES
Ga 69.72 Ga.upf
Co 58.93 Co.upf
Te 127.60 Te.upf
N 14.01 N.upf
CELL_PARAMETERS angstrom
5.6769 0.0000 0.0000
0.0000 5.6769 0.0000
0.0000 0.0000 3.4670
ATOMIC_POSITIONS angstrom
Ga 0.0000 0.0000 0.0000
Co 2.8384 2.8384 1.7335
Te 0.0000 2.8384 0.0000
Te 2.8384 0.0000 0.0000
N 0.0000 0.0000 1.7335
! - formation energy (no corrections) (meV per atom) = 1006
! - distance to the lowest polymorph of the same formula (kJ/mol of formula units) = 376
! - calculated volume (Å³/cell) = 111.7
! - symmetry = No. 123

! GaCoTe2N PBE-GGA optimized geometry; values from VASP
&SYSTEM
  ibrav = 0, nat = 5, ntyp = 4
/
ATOMIC_SPECIES
Ga 69.72 Ga.upf
Co 58.93 Co.upf
Te 127.60 Te.upf
N 14.01 N.upf
CELL_PARAMETERS angstrom
5.4490 0.0000 0.0000
0.0000 5.4490 0.0000
0.0000 0.0000 3.3947
ATOMIC_POSITIONS angstrom
Ga 0.0000 0.0000 0.0000
Co 2.7245 2.7245 1.6974
Te 0.0000 2.7245 1.6974
Te 2.7245 0.0000 1.6974
N 2.7245 2.7245 0.0000
! - formation energy (no corrections) (meV per atom) = 227
! - distance to the lowest polymorph of the same formula (kJ/mol of formula units) = 0
! - calculated volume (Å³/cell) = 100.8
! - symmetry = No. 123

! TlGa2CoN PBE-GGA optimized geometry; values from VASP
&SYSTEM
  ibrav = 0, nat = 5, ntyp = 4
/
ATOMIC_SPECIES
Tl 204.38 Tl.upf
Ga 69.72 Ga.upf
Co 58.93 Co.upf
N 14.01 N.upf
CELL_PARAMETERS angstrom
5.2527 0.0000 0.0000
0.0000 5.2527 0.0000
0.0000 0.0000 4.9194
ATOMIC_POSITIONS angstrom
Tl 0.0000 0.0000 0.0000
Ga 0.0000 2.6263 0.0000
Ga 2.6263 0.0000 0.0000
Co 0.0000 0.0000 2.4597
N 2.6263 2.6263 2.4597
! - formation energy (no corrections) (meV per atom) = 2076
! - calculated volume (Å³/cell) = 135.7
! - symmetry = No. 123

! V2GaCoN PBE-GGA optimized geometry; values from VASP
&SYSTEM
  ibrav = 0, nat = 5, ntyp = 4
/
ATOMIC_SPECIES
V 50.94 V.upf
Ga 69.72 Ga.upf
Co 58.93 Co.upf
N 14.01 N.upf
CELL_PARAMETERS angstrom
3.9032 0.0000 0.0000
0.0000 3.9032 0.0000
0.0000 0.0000 3.8286
ATOMIC_POSITIONS angstrom
V 0.0000 1.9516 0.0000
V 1.9516 0.0000 0.0000
Ga 0.0000 0.0000 1.9143
Co 1.9516 1.9516 1.9143
N 1.9516 1.9516 0.0000
! - formation energy (no corrections) (meV per atom) = -486
! - calculated volume (Å³/cell) = 58.3
! - symmetry = No. 123

! GaCo2WN PBE-GGA optimized geometry; values from VASP
&SYSTEM
  ibrav = 0, nat = 5, ntyp = 4
/
ATOMIC_SPECIES
Ga 69.72 Ga.upf
Co 58.93 Co.upf
W 183.84 W.upf
N 14.01 N.upf
CELL_PARAMETERS angstrom
3.8101 0.0000 0.0000
0.0000 3.8101 0.0000
0.0000 0.0000 4.0656
ATOMIC_POSITIONS angstrom
Ga 0.0000 0.0000 0.0000
Co 0.0000 1.9051 2.0328
Co 1.9051 0.0000 2.0328
W 1.9051 1.9051 0.0000
N 1.9051 1.9051 2.0328
! - formation energy (no corrections) (meV per atom) = -80
! - calculated volume (Å³/cell) = 59.0
! - symmetry = No. 123

! Y2GaCoN PBE-GGA optimized geometry; values from VASP
&SYSTEM
  ibrav = 0, nat = 5, ntyp = 4
/
ATOMIC_SPECIES
Y 88.91 Y.upf
Ga 69.72 Ga.upf
Co 58.93 Co.upf
N 14.01 N.upf
CELL_PARAMETERS angstrom
4.8936 0.0000 0.0000
0.0000 4.8936 0.0000
0.0000 0.0000 3.7098
ATOMIC_POSITIONS angstrom
Y 0.0000 2.4468 0.0000
Y 2.4468 0.0000 0.0000
Ga 0.0000 0.0000 1.8549
Co 2.4468 2.4468 1.8549
N 2.4468 2.4468 0.0000
! - formation energy (no corrections) (meV per atom) = -763
! - calculated volume (Å³/cell) = 88.8
! - symmetry = No. 123

! YGa2CoN PBE-GGA optimized geometry; values from VASP
&SYSTEM
  ibrav = 0, nat = 5, ntyp = 4
/
ATOMIC_SPECIES
Y 88.91 Y.upf
Ga 69.72 Ga.upf
Co 58.93 Co.upf
N 14.01 N.upf
CELL_PARAMETERS angstrom
5.0486 0.0000 0.0000
0.0000 5.0486 0.0000
0.0000 0.0000 3.4473
ATOMIC_POSITIONS angstrom
Y 0.0000 0.0000 0.0000
Ga 0.0000 2.5243 1.7236
Ga 2.5243 0.0000 1.7236
Co 2.5243 2.5243 1.7236
N 2.5243 2.5243 0.0000
! - formation energy (no corrections) (meV per atom) = 64
! - calculated volume (Å³/cell) = 87.9
! - symmetry = No. 123

! NaGaCo2 PBE-GGA optimized geometry; values from VASP
&SYSTEM
  ibrav = 0, nat = 16, ntyp = 3
/
ATOMIC_SPECIES
Na 22.99 Na.upf
Ga 69.72 Ga.upf
Co 58.93 Co.upf
CELL_PARAMETERS angstrom
4.0793 0.0000 0.0000
0.0000 4.0793 0.0000
0.0000 0.0000 17.2304
ATOMIC_POSITIONS angstrom
Na 0.0000 0.0000 0.0000
Na 0.0000 2.0397 4.3076
Na 2.0397 0.0000 12.9228
Na 2.0397 2.0397 8.6152
Ga 0.0000 0.0000 8.6152
Ga 0.0000 2.0397 12.9228
Ga 2.0397 0.0000 4.3076
Ga 2.0397 2.0397 0.0000
Co 0.4703 1.0198 10.7690
Co 1.0198 2.5099 15.0766
Co 1.0198 3.6090 6.4614
Co 1.5694 1.0198 2.1538
Co 2.5099 3.0595 2.1538
Co 3.0595 0.4703 6.4614
Co 3.0595 1.5694 15.0766
Co 3.6090 3.0595 10.7690
! - DFT formation energy (eV/f.u.) = 2.20
! - calculated volume (Å³/cell) = 286.7
! - symmetry = No. 122

! Na3GaCo PBE-GGA optimized geometry; values from VASP
&SYSTEM
  ibrav = 0, nat = 5, ntyp = 3
/
ATOMIC_SPECIES
Na 22.99 Na.upf
Ga 69.72 Ga.upf
Co 58.93 Co.upf
CELL_PARAMETERS angstrom
5.2987 0.0000 0.0000
0.0000 5.2987 0.0000
0.0000 0.0000 5.2987
ATOMIC_POSITIONS angstrom
Na 0.0000 0.0000 2.6494
Na 0.0000 2.6494 0.0000
Na 2.6494 0.0000 0.0000
Ga 2.6494 2.6494 2.6494
Co 0.0000 0.0000 0.0000
! - DFT formation energy (eV/f.u.) = 4.38
! - calculated volume (Å³/cell) = 148.8
! - symmetry = No. 221

! NaGa9Co2 PBE-GGA optimized geometry; values from VASP
&SYSTEM
  ibrav = 0, nat = 12, ntyp = 3
/
ATOMIC_SPECIES
Na 22.99 Na.upf
Ga 69.72 Ga.upf
Co 58.93 Co.upf
CELL_PARAMETERS angstrom
7.9613 0.0000 0.0000
-3.9807 6.8947 0.0000
0.0000 0.0000 3.7962
ATOMIC_POSITIONS angstrom
Na 0.0000 0.0000 0.0000
Ga -1.9903 3.4473 0.0000
Ga 0.0000 2.8458 1.8981
Ga -1.5161 5.4718 1.8981
Ga 2.4645 1.4229 1.8981
Ga 3.9807 0.0000 0.0000
Ga 1.9903 3.4473 0.0000
Ga 1.5161 5.4718 1.8981
Ga 5.4968 1.4229 1.8981
Ga 3.9806 4.0489 1.8981
Co 0.0000 4.5965 0.0000
Co 3.9807 2.2982 0.0000
! - DFT formation energy (eV/f.u.) = -2.74
! - calculated volume (Å³/cell) = 208.4
! - symmetry = No. 191